[1]
KCuReTe2S (PBE, relaxed); total energy = -4.737 eV per atom
1.0
1.9579 -7.9255 0.0000
1.9579 7.9255 0.0000
0.0000 0.0000 9.7486
K Cu Re Te S
2 2 2 4 2
Cartesian
1.9579 4.0891 7.3114
1.9579 -4.0891 2.4371
1.9579 7.5742 2.4371
1.9579 -7.5742 7.3114
1.9579 0.0000 0.0000
1.9579 0.0000 4.8743
1.9579 6.0244 0.3841
1.9579 6.0244 4.4902
1.9579 -6.0244 5.2584
1.9579 -6.0244 9.3645
1.9579 0.8569 2.4371
1.9579 -0.8569 7.3114

=====

[2]
KCuReTe2Se (PBE, relaxed); total energy = -4.621 eV per atom
1.0
1.9703 -7.9040 0.0000
1.9703 7.9040 0.0000
0.0000 0.0000 10.0680
K Cu Re Te Se
2 2 2 4 2
Cartesian
1.9703 4.0318 7.5510
1.9703 -4.0318 2.5170
1.9703 7.4530 2.5170
1.9703 -7.4530 7.5510
1.9703 0.0000 0.0000
1.9703 0.0000 5.0340
1.9703 6.0239 0.3973
1.9703 6.0239 4.6367
1.9703 -6.0239 5.4313
1.9703 -6.0239 9.6707
1.9703 0.9721 2.5170
1.9703 -0.9721 7.5510

=====

[3]
K3Cu4S4 (PBE, relaxed); total energy = -3.829 eV per atom
1.0
7.7846 0.0000 0.0000
0.0000 15.7057 0.0000
0.0000 0.0000 3.8283
K Cu S
6 8 8
Cartesian
0.0000 0.0000 0.0000
0.0271 3.6375 1.9141
3.8652 11.4904 1.9141
3.8923 7.8528 0.0000
3.9193 4.2153 1.9141
7.7575 12.0681 1.9141
0.4620 6.5288 0.0000
1.2580 8.8688 1.9141
2.6343 1.0160 1.9141
3.4303 14.3817 0.0000
4.3543 1.3240 0.0000
5.1503 14.6897 1.9141
6.5265 6.8369 1.9141
7.3226 9.1768 0.0000
1.6681 10.0967 0.0000
1.6855 6.5828 1.9141
2.2067 14.4357 1.9141
2.2242 2.2438 0.0000
5.5603 13.4618 0.0000
5.5778 1.2700 1.9141
6.0990 9.1228 1.9141
6.1165 5.6090 0.0000

=====

[4]
K3Cu4S4 (PBE, relaxed); total energy = -3.831 eV per atom
1.0
7.8219 0.0000 0.0000
0.0000 15.6616 0.0000
0.0000 0.0000 3.8199
K Cu S
6 8 8
Cartesian
0.0000 0.0000 0.0000
0.1374 3.6420 1.9100
3.7735 11.4728 1.9100
3.9109 7.8308 0.0000
4.0484 4.1889 1.9100
7.6844 12.0197 1.9100
0.5556 6.5157 0.0000
1.1934 8.7633 1.9100
2.7175 0.9325 1.9100
3.3553 14.3465 0.0000
4.4665 1.3151 0.0000
5.1043 14.7291 1.9100
6.6285 6.8983 1.9100
7.2663 9.1459 0.0000
1.5845 10.0298 0.0000
1.7831 6.5093 1.9100
2.1278 14.3401 1.9100
2.3265 2.1990 0.0000
5.4954 13.4626 0.0000
5.6940 1.3215 1.9100
6.0388 9.1523 1.9100
6.2374 5.6318 0.0000

=====

[5]
KCuS (PBE, relaxed); total energy = -3.584 eV per atom
1.0
4.1111 0.0000 0.0000
0.0000 4.1111 0.0000
0.0000 0.0000 7.2469
K Cu S
2 2 2
Cartesian
1.0278 1.0278 1.1345
3.0834 3.0834 6.1124
1.0278 3.0834 3.6235
3.0834 1.0278 3.6235
1.0278 1.0278 4.9724
3.0834 3.0834 2.2745

=====

[6]
KCuS (PBE, relaxed); total energy = -3.684 eV per atom
1.0
9.4281 0.0000 0.0000
0.0000 3.9891 0.0000
0.0000 0.0000 6.9008
K Cu S
4 4 4
Cartesian
9.4257 0.9973 1.7128
0.0023 2.9919 5.1880
4.7117 0.9973 1.7376
4.7164 2.9919 5.1632
2.3471 0.9973 4.0763
2.3669 2.9919 0.6259
7.0612 0.9973 6.2749
7.0809 2.9919 2.8245
2.3469 2.9919 2.9246
2.3671 0.9973 6.3750
7.0610 2.9919 0.5258
7.0811 0.9973 3.9762

=====

[7]
KCu2SbS3 (PBE, relaxed); total energy = -4.069 eV per atom
1.0
6.4186 0.0000 0.0000
-0.2176 9.1560 0.0000
-0.2029 -0.1077 10.4779
K Cu Sb S
4 8 4 12
Cartesian
1.1378 3.8821 1.3872
1.6582 5.1410 6.5967
4.3399 3.9074 3.8812
4.8603 5.1663 9.0907
-0.3118 8.0358 7.0188
0.3119 7.6738 0.4794
2.5813 1.3788 5.6349
2.8697 2.3154 9.0310
3.1284 6.7330 1.4469
3.4168 7.6695 4.8430
5.6862 1.3745 9.9985
6.3099 1.0125 3.4592
-0.0249 7.4530 3.6942
2.6584 8.6641 8.9431
3.3397 0.3842 1.5348
6.0230 1.5953 6.7838
0.6382 2.7741 8.7418
0.8373 0.6707 1.4158
0.7941 2.6130 4.8030
1.8689 6.4482 9.8841
1.9393 8.3933 6.5691
2.1588 6.2424 3.4693
3.8393 2.8059 7.0086
4.0588 0.6550 3.9088
4.1292 2.6002 0.5938
5.2040 6.4353 5.6749
5.1608 8.3777 9.0621
5.3599 6.2742 1.7361

=====

[8]
KScCuS3 (PBE, relaxed); total energy = -5.127 eV per atom
1.0
14.4415 0.0000 0.0000
0.0000 3.7543 0.0000
0.0000 0.0000 9.9872
K Sc Cu S
4 4 4 12
Cartesian
3.4125 0.9386 0.3969
3.8082 2.8158 5.3905
10.6332 0.9386 4.5967
11.0290 2.8158 9.5903
0.2876 0.9386 3.4555
6.9332 2.8158 8.4491
7.5083 0.9386 1.5381
14.1539 2.8158 6.5318
0.1780 2.8158 0.9715
7.0427 0.9386 5.9652
7.3988 2.8158 4.0221
14.2634 0.9386 9.0157
1.1381 2.8158 8.8381
1.3303 0.9386 5.7636
1.8243 2.8158 2.5599
5.3964 0.9386 7.5535
5.8904 2.8158 0.7700
6.0826 0.9386 3.8445
8.3588 2.8158 6.1427
8.5510 0.9386 9.2172
9.0450 2.8158 2.4337
12.6172 0.9386 7.4273
13.1112 2.8158 4.2236
13.3034 0.9386 1.1491

=====

[9]
KCuSiSeS2 (PBE, relaxed); total energy = -4.149 eV per atom
1.0
1.7309 -7.3673 0.0000
1.7309 7.3673 0.0000
0.0000 0.0000 9.9970
K Cu Si Se S
2 2 2 2 4
Cartesian
1.7309 3.7664 7.4977
1.7309 -3.7664 2.4992
1.7309 6.4507 2.4992
1.7309 -6.4507 7.4977
1.7309 0.0000 0.0000
1.7309 0.0000 4.9985
1.7309 0.8161 2.4992
1.7309 -0.8161 7.4977
1.7309 5.7644 0.3741
1.7309 5.7644 4.6243
1.7309 -5.7644 5.3726
1.7309 -5.7644 9.6228

=====

[10]
KCuSnSe2S (PBE, relaxed); total energy = -3.871 eV per atom
1.0
1.9525 -7.1428 0.0000
1.9525 7.1428 0.0000
0.0000 0.0000 10.6765
K Cu Sn Se S
2 2 2 4 2
Cartesian
1.9525 3.8597 8.0074
1.9525 -3.8597 2.6691
1.9525 6.5166 2.6691
1.9525 -6.5166 8.0074
1.9525 0.0000 0.0000
1.9525 0.0000 5.3382
1.9525 5.2759 0.5212
1.9525 5.2759 4.8171
1.9525 -5.2759 5.8594
1.9525 -5.2759 10.1553
1.9525 0.6883 2.6691
1.9525 -0.6883 8.0074

=====

[11]
KTaCuSeS2 (PBE, relaxed); total energy = -5.564 eV per atom
1.0
1.7942 -7.4905 0.0000
1.7942 7.4905 0.0000
0.0000 0.0000 9.7729
K Ta Cu Se S
2 2 2 2 4
Cartesian
1.7942 3.9060 7.3296
1.7942 -3.9060 2.4432
0.0000 0.0000 0.0000
0.0000 0.0000 4.8864
1.7942 0.5135 2.4432
1.7942 -0.5135 7.3296
1.7942 6.3583 2.4432
1.7942 -6.3583 7.3296
1.7942 1.6866 0.5179
1.7942 1.6866 4.3685
1.7942 -1.6866 5.4044
1.7942 -1.6866 9.2549

=====

[12]
KCuTcSe2S (PBE, relaxed); total energy = -4.840 eV per atom
1.0
1.8600 -7.3780 0.0000
1.8600 7.3780 0.0000
0.0000 0.0000 9.5995
K Cu Tc Se S
2 2 2 4 2
Cartesian
1.8600 3.7713 7.1996
1.8600 -3.7713 2.3999
1.8600 6.9262 2.3999
1.8600 -6.9262 7.1996
1.8600 0.0000 0.0000
1.8600 0.0000 4.7997
1.8600 5.6102 0.3943
1.8600 5.6102 4.4054
1.8600 -5.6102 5.1940
1.8600 -5.6102 9.2051
1.8600 0.8820 2.3999
1.8600 -0.8820 7.1996

=====

> total energy of number 4 (K3Cu4S4)?

-3.831 eV per atom

=====

Copy entry 5 word for word.
KCuS (PBE, relaxed); total energy = -3.584 eV per atom
1.0
4.1111 0.0000 0.0000
0.0000 4.1111 0.0000
0.0000 0.0000 7.2469
K Cu S
2 2 2
Cartesian
1.0278 1.0278 1.1345
3.0834 3.0834 6.1124
1.0278 3.0834 3.6235
3.0834 1.0278 3.6235
1.0278 1.0278 4.9724
3.0834 3.0834 2.2745

=====

> Among the records above, which one has the lowest total energy?

KTaCuSeS2